(1)
Below is CsScSn after structural relaxation, with properties calculated at the PBE level.

Output
For the energy above the lowest structure with this stoichiometry, the calculation gives 0.1316 eV/atom. As for the space group: No. 62.

a b c (Å): 8.774 5.180 13.572
angles (deg): 90.00 90.00 90.00
Fractional coordinates of all 12 atoms:
Cs1 0.123 0.250 0.133
Cs2 0.377 0.750 0.633
Cs3 0.623 0.250 0.367
Cs4 0.877 0.750 0.867
Sc1 0.044 0.750 0.426
Sc2 0.456 0.250 0.926
Sc3 0.544 0.750 0.074
Sc4 0.956 0.250 0.574
Sn1 0.187 0.250 0.423
Sn2 0.313 0.750 0.923
Sn3 0.687 0.250 0.077
Sn4 0.813 0.750 0.577

***

(2)
Below is InBPt6 after structural relaxation, with properties calculated at the PBE level.

Output
As for the space group: No. 12.

a b c (Å): 8.206 5.592 7.139
angles (deg): 90.00 125.05 90.00
Fractional coordinates of all 16 atoms:
In1 0.000 0.000 0.000
In2 0.500 0.500 0.000
B1 0.000 0.000 0.500
B2 0.500 0.500 0.500
Pt1 0.126 0.258 0.764
Pt2 0.126 0.742 0.764
Pt3 0.240 0.500 0.497
Pt4 0.260 0.000 0.503
Pt5 0.374 0.242 0.236
Pt6 0.374 0.758 0.236
Pt7 0.626 0.242 0.764
Pt8 0.626 0.758 0.764
Pt9 0.740 0.000 0.497
Pt10 0.760 0.500 0.503
Pt11 0.874 0.258 0.236
Pt12 0.874 0.742 0.236

***

(3)
Below is PrSm2TmS6 after structural relaxation, with properties calculated at the PBE level.

Output
As for the space group: No. 146. The uncorrected formation energy comes out at -2.0245 eV/atom.

a b c (Å): 7.458 7.458 7.458
angles (deg): 56.55 56.55 56.55
Fractional coordinates of all 10 atoms:
Pr1 0.000 0.000 0.000
Sm1 0.290 0.290 0.290
Sm2 0.794 0.794 0.794
Tm1 0.494 0.494 0.494
S1 0.102 0.683 0.403
S2 0.206 0.596 0.880
S3 0.403 0.102 0.683
S4 0.596 0.880 0.206
S5 0.683 0.403 0.102
S6 0.880 0.206 0.596

***

(4)
Below is CoSiAs2 after structural relaxation, with properties calculated at the PBE level.

Output
As for the space group: No. 166. The uncorrected formation energy comes out at 0.2656 eV/atom.

a b c (Å): 2.980 2.980 25.325
angles (deg): 90.00 90.00 120.00
Fractional coordinates of all 12 atoms:
Co1 0.000 0.000 0.000
Co2 0.333 0.667 0.667
Co3 0.667 0.333 0.333
Si1 0.000 0.000 0.500
Si2 0.333 0.667 0.167
Si3 0.667 0.333 0.833
As1 0.000 0.000 0.266
As2 0.000 0.000 0.734
As3 0.333 0.667 0.401
As4 0.333 0.667 0.933
As5 0.667 0.333 0.067
As6 0.667 0.333 0.599

***

(5)
Below is LiScMoPd2 after structural relaxation, with properties calculated at the PBE level.

Output
As for the space group: No. 123.

a b c (Å): 4.685 4.685 4.621
angles (deg): 90.00 90.00 90.00
Fractional coordinates of all 5 atoms:
Li1 0.000 0.000 0.000
Sc1 0.000 0.000 0.500
Mo1 0.500 0.500 0.000
Pd1 0.000 0.500 0.500
Pd2 0.500 0.000 0.500

***

(6)
Below is SrZrAl2Rh after structural relaxation, with properties calculated at the PBE level.

Output
As for the space group: No. 123.

a b c (Å): 5.333 5.333 4.849
angles (deg): 90.00 90.00 90.00
Fractional coordinates of all 5 atoms:
Sr1 0.000 0.000 0.000
Zr1 0.500 0.500 0.500
Al1 0.000 0.500 0.500
Al2 0.500 0.000 0.500
Rh1 0.500 0.500 0.000

***

(7)
Below is MnCrTe after structural relaxation, with properties calculated at the PBE level.

Output
For the energy above the lowest structure with this stoichiometry, the calculation gives 0.4296 eV/atom. As for the space group: No. 156. The uncorrected formation energy comes out at 0.4379 eV/atom.

a b c (Å): 3.298 3.298 5.931
angles (deg): 90.00 90.00 120.00
Fractional coordinates of all 3 atoms:
Mn1 0.000 0.000 0.000
Cr1 0.333 0.667 0.740
Te1 0.667 0.333 0.367

***

(8)
Below is GaCu2Hg after structural relaxation, with properties calculated at the PBE level.

Output
For the energy above the lowest structure with this stoichiometry, the calculation gives 0.0539 eV/atom. As for the space group: No. 160.

a b c (Å): 4.182 4.182 13.609
angles (deg): 90.00 90.00 120.00
Fractional coordinates of all 12 atoms:
Ga1 0.000 0.000 0.000
Ga2 0.333 0.667 0.667
Ga3 0.667 0.333 0.333
Cu1 0.000 0.000 0.405
Cu2 0.000 0.000 0.631
Cu3 0.333 0.667 0.072
Cu4 0.333 0.667 0.298
Cu5 0.667 0.333 0.738
Cu6 0.667 0.333 0.965
Hg1 0.000 0.000 0.195
Hg2 0.333 0.667 0.862
Hg3 0.667 0.333 0.528

***

(9)
Below is RbLiBi2 after structural relaxation, with properties calculated at the PBE level.

Output
For the energy above the lowest structure with this stoichiometry, the calculation gives 0.2243 eV/atom. As for the space group: No. 225.

a b c (Å): 8.034 8.034 8.034
angles (deg): 90.00 90.00 90.00
Fractional coordinates of all 16 atoms:
Rb1 0.000 0.000 0.000
Rb2 0.000 0.500 0.500
Rb3 0.500 0.000 0.500
Rb4 0.500 0.500 0.000
Li1 0.000 0.000 0.500
Li2 0.000 0.500 0.000
Li3 0.500 0.000 0.000
Li4 0.500 0.500 0.500
Bi1 0.250 0.250 0.250
Bi2 0.250 0.250 0.750
Bi3 0.250 0.750 0.250
Bi4 0.250 0.750 0.750
Bi5 0.750 0.250 0.250
Bi6 0.750 0.250 0.750
Bi7 0.750 0.750 0.250
Bi8 0.750 0.750 0.750

***

(10)
Below is PuMnNi after structural relaxation, with properties calculated at the PBE level.

Output
As for the space group: No. 107.

a b c (Å): 3.012 3.012 11.382
angles (deg): 90.00 90.00 90.00
Fractional coordinates of all 6 atoms:
Pu1 0.000 0.000 0.000
Pu2 0.500 0.500 0.500
Mn1 0.000 0.000 0.285
Mn2 0.500 0.500 0.785
Ni1 0.000 0.000 0.677
Ni2 0.500 0.500 0.177

***

(11)
Below is LaErCrN3 after structural relaxation, with properties calculated at the PBE level.

Output
As for the space group: No. 11. The uncorrected formation energy comes out at -1.1417 eV/atom.

a b c (Å): 7.312 3.422 7.624
angles (deg): 90.00 100.91 90.00
Fractional coordinates of all 12 atoms:
La1 0.197 0.250 0.196
La2 0.803 0.750 0.804
Er1 0.167 0.250 0.638
Er2 0.833 0.750 0.362
Cr1 0.400 0.750 0.920
Cr2 0.600 0.250 0.080
N1 0.151 0.750 0.863
N2 0.152 0.750 0.415
N3 0.484 0.250 0.839
N4 0.516 0.750 0.161
N5 0.848 0.250 0.585
N6 0.849 0.250 0.137

***

(12)
Below is ScFe2Ag after structural relaxation, with properties calculated at the PBE level.

Output
As for the space group: No. 47.

a b c (Å): 2.916 3.790 5.667
angles (deg): 90.00 90.00 90.00
Fractional coordinates of all 4 atoms:
Sc1 0.000 0.000 0.000
Fe1 0.500 0.500 0.250
Fe2 0.500 0.500 0.750
Ag1 0.000 0.000 0.500

***

(13)
Below is Ho2CoC after structural relaxation, with properties calculated at the PBE level.

Output
For the energy above the lowest structure with this stoichiometry, the calculation gives 0.0000 eV/atom. As for the space group: No. 71.

a b c (Å): 3.530 3.626 12.692
angles (deg): 90.00 90.00 90.00
Fractional coordinates of all 8 atoms:
Ho1 0.000 0.000 0.130
Ho2 0.000 0.000 0.870
Ho3 0.500 0.500 0.370
Ho4 0.500 0.500 0.630
Co1 0.000 0.000 0.500
Co2 0.500 0.500 0.000
C1 0.000 0.500 0.500
C2 0.500 0.000 0.000

***

(14)
Below is NbSiS2 after structural relaxation, with properties calculated at the PBE level.

Output
As for the space group: No. 122. The uncorrected formation energy comes out at 0.0467 eV/atom.

a b c (Å): 5.551 5.551 10.662
angles (deg): 90.00 90.00 90.00
Fractional coordinates of all 16 atoms:
Nb1 0.000 0.000 0.000
Nb2 0.000 0.500 0.250
Nb3 0.500 0.000 0.750
Nb4 0.500 0.500 0.500
Si1 0.000 0.000 0.500
Si2 0.000 0.500 0.750
Si3 0.500 0.000 0.250
Si4 0.500 0.500 0.000
S1 0.236 0.250 0.625
S2 0.250 0.736 0.875
S3 0.250 0.764 0.375
S4 0.264 0.250 0.125
S5 0.736 0.750 0.125
S6 0.750 0.236 0.375
S7 0.750 0.264 0.875
S8 0.764 0.750 0.625

***

(15)
Below is La3Al8Pd3 after structural relaxation, with properties calculated at the PBE level.

Output
For the energy above the lowest structure with this stoichiometry, the calculation gives 0.0029 eV/atom. As for the space group: No. 12.

a b c (Å): 8.418 8.418 9.042
angles (deg): 121.77 121.77 31.68
Fractional coordinates of all 14 atoms:
La1 0.000 0.000 0.000
La2 0.286 0.286 0.303
La3 0.714 0.714 0.697
Al1 0.132 0.132 0.422
Al2 0.147 0.147 0.857
Al3 0.350 0.350 0.718
Al4 0.493 0.493 0.324
Al5 0.507 0.507 0.676
Al6 0.650 0.650 0.282
Al7 0.853 0.853 0.143
Al8 0.868 0.868 0.578
Pd1 0.000 0.000 0.500
Pd2 0.345 0.345 0.000
Pd3 0.655 0.655 0.000

***

(16)
Below is SrCrTe after structural relaxation, with properties calculated at the PBE level.

Output
For the energy above the lowest structure with this stoichiometry, the calculation gives 0.2531 eV/atom. As for the space group: No. 107. The uncorrected formation energy comes out at -0.1127 eV/atom.

a b c (Å): 3.903 3.903 11.576
angles (deg): 90.00 90.00 90.00
Fractional coordinates of all 6 atoms:
Sr1 0.000 0.000 0.000
Sr2 0.500 0.500 0.500
Cr1 0.000 0.000 0.293
Cr2 0.500 0.500 0.793
Te1 0.000 0.000 0.704
Te2 0.500 0.500 0.204

***

(17)
Below is SbN2ClF after structural relaxation, with properties calculated at the PBE level.

Output
For the energy above the lowest structure with this stoichiometry, the calculation gives 0.0000 eV/atom. As for the space group: No. 123. The uncorrected formation energy comes out at 0.7598 eV/atom.

a b c (Å): 4.222 4.222 4.224
angles (deg): 90.00 90.00 90.00
Fractional coordinates of all 5 atoms:
Sb1 0.000 0.000 0.000
N1 0.000 0.500 0.000
N2 0.500 0.000 0.000
Cl1 0.500 0.500 0.500
F1 0.000 0.000 0.500

***

(18)
Below is Ca3Sb2F after structural relaxation, with properties calculated at the PBE level.

Output
For the energy above the lowest structure with this stoichiometry, the calculation gives 0.0000 eV/atom. As for the space group: No. 62. The uncorrected formation energy comes out at -1.6900 eV/atom.

a b c (Å): 9.266 3.980 17.816
angles (deg): 90.00 90.00 90.00
Fractional coordinates of all 24 atoms:
Ca1 0.022 0.250 0.105
Ca2 0.118 0.250 0.583
Ca3 0.191 0.750 0.272
Ca4 0.309 0.250 0.772
Ca5 0.382 0.750 0.083
Ca6 0.478 0.750 0.605
Ca7 0.522 0.250 0.395
Ca8 0.618 0.250 0.917
Ca9 0.691 0.750 0.228
Ca10 0.809 0.250 0.728
Ca11 0.882 0.750 0.417
Ca12 0.978 0.750 0.895
Sb1 0.068 0.750 0.720
Sb2 0.250 0.250 0.955
Sb3 0.250 0.750 0.455
Sb4 0.432 0.250 0.220
Sb5 0.568 0.750 0.780
Sb6 0.750 0.250 0.545
Sb7 0.750 0.750 0.045
Sb8 0.932 0.250 0.280
F1 0.141 0.750 0.133
F2 0.359 0.250 0.633
F3 0.641 0.750 0.367
F4 0.859 0.250 0.867

***

(19)
Below is AsIr3Pt after structural relaxation, with properties calculated at the PBE level.

Output
For the energy above the lowest structure with this stoichiometry, the calculation gives 0.0000 eV/atom. As for the space group: No. 221.

a b c (Å): 4.526 4.526 4.526
angles (deg): 90.00 90.00 90.00
Fractional coordinates of all 5 atoms:
As1 0.000 0.000 0.000
Ir1 0.000 0.000 0.500
Ir2 0.000 0.500 0.000
Ir3 0.500 0.000 0.000
Pt1 0.500 0.500 0.500

***

(20)
Below is Ac3NiPt after structural relaxation, with properties calculated at the PBE level.

Output
As for the space group: No. 12.

a b c (Å): 7.884 7.884 12.099
angles (deg): 123.71 123.71 32.73
Fractional coordinates of all 10 atoms:
Ac1 0.029 0.029 0.204
Ac2 0.276 0.276 0.882
Ac3 0.353 0.353 0.458
Ac4 0.647 0.647 0.542
Ac5 0.724 0.724 0.118
Ac6 0.971 0.971 0.796
Ni1 0.306 0.306 0.666
Ni2 0.694 0.694 0.334
Pt1 0.392 0.392 0.217
Pt2 0.608 0.608 0.783

***

(21)
Below is CdSbBr2 after structural relaxation, with properties calculated at the PBE level.

Output
For the energy above the lowest structure with this stoichiometry, the calculation gives 0.1372 eV/atom. As for the space group: No. 12. The uncorrected formation energy comes out at -0.2044 eV/atom.

a b c (Å): 15.508 3.829 5.145
angles (deg): 90.00 109.21 90.00
Fractional coordinates of all 8 atoms:
Cd1 0.000 0.000 0.000
Cd2 0.500 0.500 0.000
Sb1 0.000 0.500 0.500
Sb2 0.500 0.000 0.500
Br1 0.153 0.000 0.651
Br2 0.347 0.500 0.349
Br3 0.653 0.500 0.651
Br4 0.847 0.000 0.349

***

(22)
Below is MgTl2CdCl6 after structural relaxation, with properties calculated at the PBE level.

Output
As for the space group: No. 14. The uncorrected formation energy comes out at -1.2758 eV/atom.

a b c (Å): 7.174 7.265 12.513
angles (deg): 90.00 124.96 90.00
Fractional coordinates of all 20 atoms:
Mg1 0.000 0.000 0.000
Mg2 0.000 0.500 0.500
Tl1 0.260 0.048 0.749
Tl2 0.260 0.452 0.249
Tl3 0.740 0.548 0.751
Tl4 0.740 0.952 0.251
Cd1 0.500 0.000 0.500
Cd2 0.500 0.500 0.000
Cl1 0.182 0.005 0.243
Cl2 0.182 0.495 0.743
Cl3 0.234 0.717 0.031
Cl4 0.234 0.783 0.531
Cl5 0.314 0.205 0.031
Cl6 0.314 0.295 0.531
Cl7 0.686 0.705 0.469
Cl8 0.686 0.795 0.969
Cl9 0.766 0.217 0.469
Cl10 0.766 0.283 0.969
Cl11 0.818 0.505 0.257
Cl12 0.818 0.995 0.757

***

(23)
Below is SrMgTe after structural relaxation, with properties calculated at the PBE level.

Output
For the energy above the lowest structure with this stoichiometry, the calculation gives 0.0951 eV/atom. As for the space group: No. 107. The uncorrected formation energy comes out at -0.7068 eV/atom.

a b c (Å): 3.991 3.991 11.988
angles (deg): 90.00 90.00 90.00
Fractional coordinates of all 6 atoms:
Sr1 0.000 0.000 0.000
Sr2 0.500 0.500 0.500
Mg1 0.000 0.000 0.703
Mg2 0.500 0.500 0.203
Te1 0.000 0.000 0.324
Te2 0.500 0.500 0.824

***

(24)
Below is Sc6Te3P2Pb after structural relaxation, with properties calculated at the PBE level.

Output
As for the space group: No. 12. The uncorrected formation energy comes out at -1.1566 eV/atom.

a b c (Å): 9.068 9.068 8.238
angles (deg): 103.42 103.42 25.23
Fractional coordinates of all 12 atoms:
Sc1 0.018 0.018 0.260
Sc2 0.322 0.322 0.436
Sc3 0.328 0.328 0.873
Sc4 0.672 0.672 0.127
Sc5 0.678 0.678 0.564
Sc6 0.982 0.982 0.740
Te1 0.161 0.161 0.835
Te2 0.500 0.500 0.500
Te3 0.839 0.839 0.165
P1 0.170 0.170 0.342
P2 0.830 0.830 0.658
Pb1 0.500 0.500 0.000

***

no.,calculated total energy (eV per atom)
1,-3.74
2,-5.87
3,-6.37
4,-5.19
5,-4.95
6,-4.74
7,-6.87
8,-2.73
9,-2.70
10,-9.53
11,-8.49
12,-6.30
13,-6.65
14,-5.89
15,-4.98
16,-4.93
17,-4.14
18,-4.38
19,-6.18
20,-5.38
21,-2.30
22,-3.11
23,-2.85
24,-6.32